Entry 1:
A plane-wave DFT calculation with SCAN was carried out for ZnPbIN2 at its PBEsol-relaxed geometry.

M_tot ... 3.00 Bohr magnetons per cell
Calculated total energy ... -27.630 eV/atom
N(E_F) ... 1.6 states/eV/cell
Space-group type ... P4/mmm (123)

The structure in CIF format:
```
data_ZnPbIN2
_cell_length_a 4.287
_cell_length_b 4.287
_cell_length_c 5.404
_cell_angle_alpha 90.00
_cell_angle_beta 90.00
_cell_angle_gamma 90.00
_space_group_name_H-M_alt 'P 1'
_space_group_IT_number 1
_space_group_name_Hall 'P 1'
loop_
_atom_site_label
_atom_site_fract_x
_atom_site_fract_y
_atom_site_fract_z
_atom_site_occupancy
N1 0.500 0.000 0.000 1
N2 0.000 0.500 0.000 1
Zn1 0.000 0.000 0.000 1
Pb1 0.500 0.500 0.500 1
I1 0.000 0.000 0.500 1
```


Entry 2:
A plane-wave DFT calculation with SCAN was carried out for PdPtI2N at its PBEsol-relaxed geometry.

M_tot ... 0.00 Bohr magnetons per cell
Calculated total energy ... -36.008 eV/atom
N(E_F) ... 5.0 states/eV/cell
Space-group type ... P4/mmm (123)

The structure in CIF format:
```
data_PdPtI2N
_cell_length_a 3.619
_cell_length_b 5.442
_cell_length_c 5.442
_cell_angle_alpha 90.00
_cell_angle_beta 90.00
_cell_angle_gamma 90.00
_space_group_name_H-M_alt 'P 1'
_space_group_IT_number 1
_space_group_name_Hall 'P 1'
loop_
_atom_site_label
_atom_site_fract_x
_atom_site_fract_y
_atom_site_fract_z
_atom_site_occupancy
Pd1 0.000 0.000 0.000 1
I1 0.000 0.500 0.000 1
I2 0.000 0.000 0.500 1
N1 0.500 0.000 0.000 1
Pt1 0.500 0.500 0.500 1
```


Entry 3:
A plane-wave DFT calculation with SCAN was carried out for RePdI2N at its PBEsol-relaxed geometry.

M_tot ... 4.29 Bohr magnetons per cell
Calculated total energy ... -35.627 eV/atom
N(E_F) ... 3.1 states/eV/cell
Space-group type ... P4/mmm (123)

The structure in CIF format:
```
data_RePdI2N
_cell_length_a 3.618
_cell_length_b 5.562
_cell_length_c 5.562
_cell_angle_alpha 90.00
_cell_angle_beta 90.00
_cell_angle_gamma 90.00
_space_group_name_H-M_alt 'P 1'
_space_group_IT_number 1
_space_group_name_Hall 'P 1'
loop_
_atom_site_label
_atom_site_fract_x
_atom_site_fract_y
_atom_site_fract_z
_atom_site_occupancy
Re1 0.500 0.500 0.500 1
I1 0.000 0.500 0.000 1
I2 0.000 0.000 0.500 1
Pd1 0.000 0.000 0.000 1
N1 0.500 0.000 0.000 1
```


Entry 4:
A plane-wave DFT calculation with SCAN was carried out for RePdIN2 at its PBEsol-relaxed geometry.

M_tot ... 0.18 Bohr magnetons per cell
Calculated total energy ... -31.193 eV/atom
N(E_F) ... 2.7 states/eV/cell
Space-group type ... P4/mmm (123)

The structure in CIF format:
```
data_RePdIN2
_cell_length_a 3.814
_cell_length_b 3.814
_cell_length_c 5.797
_cell_angle_alpha 90.00
_cell_angle_beta 90.00
_cell_angle_gamma 90.00
_space_group_name_H-M_alt 'P 1'
_space_group_IT_number 1
_space_group_name_Hall 'P 1'
loop_
_atom_site_label
_atom_site_fract_x
_atom_site_fract_y
_atom_site_fract_z
_atom_site_occupancy
Pd1 0.500 0.500 0.500 1
I1 0.000 0.000 0.500 1
Re1 0.000 0.000 0.000 1
N1 0.000 0.500 0.000 1
N2 0.500 0.000 0.000 1
```


Entry 5:
A plane-wave DFT calculation with SCAN was carried out for PdS2IN at its PBEsol-relaxed geometry.

M_tot ... 1.68 Bohr magnetons per cell
Calculated total energy ... -18.029 eV/atom
N(E_F) ... 3.5 states/eV/cell
Space-group type ... P4/mmm (123)

The structure in CIF format:
```
data_PdS2IN
_cell_length_a 3.819
_cell_length_b 5.053
_cell_length_c 5.053
_cell_angle_alpha 90.00
_cell_angle_beta 90.00
_cell_angle_gamma 90.00
_space_group_name_H-M_alt 'P 1'
_space_group_IT_number 1
_space_group_name_Hall 'P 1'
loop_
_atom_site_label
_atom_site_fract_x
_atom_site_fract_y
_atom_site_fract_z
_atom_site_occupancy
S1 0.000 0.500 0.000 1
S2 0.000 0.000 0.500 1
I1 0.000 0.000 0.000 1
N1 0.500 0.000 0.000 1
Pd1 0.500 0.500 0.500 1
```


Entry 6:
A plane-wave DFT calculation with SCAN was carried out for PdS2IN at its PBEsol-relaxed geometry.

M_tot ... 0.00 Bohr magnetons per cell
Calculated total energy ... -18.641 eV/atom
N(E_F) ... 3.6 states/eV/cell
Space-group type ... P4/mmm (123)

The structure in CIF format:
```
data_PdS2IN
_cell_length_a 3.680
_cell_length_b 4.917
_cell_length_c 4.917
_cell_angle_alpha 90.00
_cell_angle_beta 90.00
_cell_angle_gamma 90.00
_space_group_name_H-M_alt 'P 1'
_space_group_IT_number 1
_space_group_name_Hall 'P 1'
loop_
_atom_site_label
_atom_site_fract_x
_atom_site_fract_y
_atom_site_fract_z
_atom_site_occupancy
S1 0.000 0.000 0.500 1
S2 0.000 0.500 0.000 1
N1 0.500 0.000 0.000 1
Pd1 0.000 0.000 0.000 1
I1 0.500 0.500 0.500 1
```


Entry 7:
A plane-wave DFT calculation with SCAN was carried out for PdSe2IN at its PBEsol-relaxed geometry.

M_tot ... 0.00 Bohr magnetons per cell
Calculated total energy ... -22.941 eV/atom
N(E_F) ... 4.0 states/eV/cell
Space-group type ... P4/mmm (123)

The structure in CIF format:
```
data_PdSe2IN
_cell_length_a 3.680
_cell_length_b 5.192
_cell_length_c 5.192
_cell_angle_alpha 90.00
_cell_angle_beta 90.00
_cell_angle_gamma 90.00
_space_group_name_H-M_alt 'P 1'
_space_group_IT_number 1
_space_group_name_Hall 'P 1'
loop_
_atom_site_label
_atom_site_fract_x
_atom_site_fract_y
_atom_site_fract_z
_atom_site_occupancy
I1 0.500 0.500 0.500 1
N1 0.500 0.000 0.000 1
Pd1 0.000 0.000 0.000 1
Se1 0.000 0.000 0.500 1
Se2 0.000 0.500 0.000 1
```


Entry 8:
A plane-wave DFT calculation with SCAN was carried out for SrPdIN2 at its PBEsol-relaxed geometry.

M_tot ... 5.01 Bohr magnetons per cell
Calculated total energy ... -20.763 eV/atom
N(E_F) ... 2.0 states/eV/cell
Space-group type ... P4/mmm (123)

The structure in CIF format:
```
data_SrPdIN2
_cell_length_a 4.629
_cell_length_b 4.629
_cell_length_c 6.444
_cell_angle_alpha 90.00
_cell_angle_beta 90.00
_cell_angle_gamma 90.00
_space_group_name_H-M_alt 'P 1'
_space_group_IT_number 1
_space_group_name_Hall 'P 1'
loop_
_atom_site_label
_atom_site_fract_x
_atom_site_fract_y
_atom_site_fract_z
_atom_site_occupancy
Sr1 0.000 0.000 0.000 1
Pd1 0.500 0.500 0.500 1
N1 0.000 0.500 0.000 1
N2 0.500 0.000 0.000 1
I1 0.000 0.000 0.500 1
```


Entry 9:
A plane-wave DFT calculation with SCAN was carried out for TePdI2N at its PBEsol-relaxed geometry.

M_tot ... 0.68 Bohr magnetons per cell
Calculated total energy ... -29.553 eV/atom
N(E_F) ... 4.4 states/eV/cell
Space-group type ... P4/mmm (123)

The structure in CIF format:
```
data_TePdI2N
_cell_length_a 3.908
_cell_length_b 5.936
_cell_length_c 5.936
_cell_angle_alpha 90.00
_cell_angle_beta 90.00
_cell_angle_gamma 90.00
_space_group_name_H-M_alt 'P 1'
_space_group_IT_number 1
_space_group_name_Hall 'P 1'
loop_
_atom_site_label
_atom_site_fract_x
_atom_site_fract_y
_atom_site_fract_z
_atom_site_occupancy
I1 0.000 0.500 0.000 1
I2 0.000 0.000 0.500 1
N1 0.500 0.000 0.000 1
Pd1 0.500 0.500 0.500 1
Te1 0.000 0.000 0.000 1
```


Entry 10:
A plane-wave DFT calculation with SCAN was carried out for TePdI2N at its PBEsol-relaxed geometry.

M_tot ... 0.00 Bohr magnetons per cell
Calculated total energy ... -29.417 eV/atom
N(E_F) ... 5.8 states/eV/cell
Space-group type ... P4/mmm (123)

The structure in CIF format:
```
data_TePdI2N
_cell_length_a 4.892
_cell_length_b 4.892
_cell_length_c 4.589
_cell_angle_alpha 90.00
_cell_angle_beta 90.00
_cell_angle_gamma 90.00
_space_group_name_H-M_alt 'P 1'
_space_group_IT_number 1
_space_group_name_Hall 'P 1'
loop_
_atom_site_label
_atom_site_fract_x
_atom_site_fract_y
_atom_site_fract_z
_atom_site_occupancy
N1 0.000 0.000 0.000 1
Te1 0.000 0.000 0.500 1
Pd1 0.500 0.500 0.500 1
I1 0.000 0.500 0.000 1
I2 0.500 0.000 0.000 1
```


Entry 11:
A plane-wave DFT calculation with SCAN was carried out for Pd2WIN at its PBEsol-relaxed geometry.

M_tot ... 0.00 Bohr magnetons per cell
Calculated total energy ... -35.567 eV/atom
N(E_F) ... 2.4 states/eV/cell
Space-group type ... P4/mmm (123)

The structure in CIF format:
```
data_Pd2WIN
_cell_length_a 3.792
_cell_length_b 5.026
_cell_length_c 5.026
_cell_angle_alpha 90.00
_cell_angle_beta 90.00
_cell_angle_gamma 90.00
_space_group_name_H-M_alt 'P 1'
_space_group_IT_number 1
_space_group_name_Hall 'P 1'
loop_
_atom_site_label
_atom_site_fract_x
_atom_site_fract_y
_atom_site_fract_z
_atom_site_occupancy
I1 0.500 0.500 0.500 1
N1 0.500 0.000 0.000 1
Pd1 0.000 0.500 0.000 1
Pd2 0.000 0.000 0.500 1
W1 0.000 0.000 0.000 1
```


Entry 12:
A plane-wave DFT calculation with SCAN was carried out for ZnPdI2N at its PBEsol-relaxed geometry.

M_tot ... 0.00 Bohr magnetons per cell
Calculated total energy ... -25.133 eV/atom
N(E_F) ... 3.0 states/eV/cell
Space-group type ... P4/mmm (123)

The structure in CIF format:
```
data_ZnPdI2N
_cell_length_a 3.705
_cell_length_b 5.582
_cell_length_c 5.582
_cell_angle_alpha 90.00
_cell_angle_beta 90.00
_cell_angle_gamma 90.00
_space_group_name_H-M_alt 'P 1'
_space_group_IT_number 1
_space_group_name_Hall 'P 1'
loop_
_atom_site_label
_atom_site_fract_x
_atom_site_fract_y
_atom_site_fract_z
_atom_site_occupancy
Zn1 0.500 0.500 0.500 1
N1 0.500 0.000 0.000 1
I1 0.000 0.000 0.500 1
I2 0.000 0.500 0.000 1
Pd1 0.000 0.000 0.000 1
```


Entry 13:
A plane-wave DFT calculation with SCAN was carried out for PtSeI2N at its PBEsol-relaxed geometry.

M_tot ... 0.00 Bohr magnetons per cell
Calculated total energy ... -33.886 eV/atom
N(E_F) ... 3.9 states/eV/cell
Space-group type ... P4/mmm (123)

The structure in CIF format:
```
data_PtSeI2N
_cell_length_a 3.667
_cell_length_b 5.614
_cell_length_c 5.614
_cell_angle_alpha 90.00
_cell_angle_beta 90.00
_cell_angle_gamma 90.00
_space_group_name_H-M_alt 'P 1'
_space_group_IT_number 1
_space_group_name_Hall 'P 1'
loop_
_atom_site_label
_atom_site_fract_x
_atom_site_fract_y
_atom_site_fract_z
_atom_site_occupancy
Se1 0.500 0.500 0.500 1
N1 0.500 0.000 0.000 1
I1 0.000 0.500 0.000 1
I2 0.000 0.000 0.500 1
Pt1 0.000 0.000 0.000 1
```


Entry 14:
A plane-wave DFT calculation with SCAN was carried out for PtSeIN2 at its PBEsol-relaxed geometry.

M_tot ... 0.00 Bohr magnetons per cell
Calculated total energy ... -27.125 eV/atom
N(E_F) ... 2.6 states/eV/cell
Space-group type ... P4/mmm (123)

The structure in CIF format:
```
data_PtSeIN2
_cell_length_a 3.812
_cell_length_b 3.812
_cell_length_c 5.960
_cell_angle_alpha 90.00
_cell_angle_beta 90.00
_cell_angle_gamma 90.00
_space_group_name_H-M_alt 'P 1'
_space_group_IT_number 1
_space_group_name_Hall 'P 1'
loop_
_atom_site_label
_atom_site_fract_x
_atom_site_fract_y
_atom_site_fract_z
_atom_site_occupancy
I1 0.000 0.000 0.000 1
N1 0.000 0.500 0.000 1
N2 0.500 0.000 0.000 1
Pt1 0.500 0.500 0.500 1
Se1 0.000 0.000 0.500 1
```


Entry 15:
A plane-wave DFT calculation with SCAN was carried out for SiPtIN2 at its PBEsol-relaxed geometry.

M_tot ... 0.82 Bohr magnetons per cell
Calculated total energy ... -25.652 eV/atom
N(E_F) ... 1.8 states/eV/cell
Space-group type ... P4/mmm (123)

The structure in CIF format:
```
data_SiPtIN2
_cell_length_a 3.788
_cell_length_b 3.788
_cell_length_c 7.476
_cell_angle_alpha 90.00
_cell_angle_beta 90.00
_cell_angle_gamma 90.00
_space_group_name_H-M_alt 'P 1'
_space_group_IT_number 1
_space_group_name_Hall 'P 1'
loop_
_atom_site_label
_atom_site_fract_x
_atom_site_fract_y
_atom_site_fract_z
_atom_site_occupancy
Pt1 0.000 0.000 0.000 1
N1 0.000 0.500 0.000 1
N2 0.500 0.000 0.000 1
I1 0.000 0.000 0.500 1
Si1 0.500 0.500 0.500 1
```


Entry 16:
A plane-wave DFT calculation with SCAN was carried out for TiPtI2N at its PBEsol-relaxed geometry.

M_tot ... 0.00 Bohr magnetons per cell
Calculated total energy ... -33.386 eV/atom
N(E_F) ... 4.9 states/eV/cell
Space-group type ... P4/mmm (123)

The structure in CIF format:
```
data_TiPtI2N
_cell_length_a 3.641
_cell_length_b 5.444
_cell_length_c 5.444
_cell_angle_alpha 90.00
_cell_angle_beta 90.00
_cell_angle_gamma 90.00
_space_group_name_H-M_alt 'P 1'
_space_group_IT_number 1
_space_group_name_Hall 'P 1'
loop_
_atom_site_label
_atom_site_fract_x
_atom_site_fract_y
_atom_site_fract_z
_atom_site_occupancy
N1 0.500 0.000 0.000 1
Pt1 0.500 0.500 0.500 1
I1 0.000 0.500 0.000 1
I2 0.000 0.000 0.500 1
Ti1 0.000 0.000 0.000 1
```


Entry 17:
A plane-wave DFT calculation with SCAN was carried out for RbSIN2 at its PBEsol-relaxed geometry.

M_tot ... 8.02 Bohr magnetons per cell
Calculated total energy ... -15.277 eV/atom
N(E_F) ... 0.5 states/eV/cell
Space-group type ... P4/mmm (123)

The structure in CIF format:
```
data_RbSIN2
_cell_length_a 5.400
_cell_length_b 5.400
_cell_length_c 6.155
_cell_angle_alpha 90.00
_cell_angle_beta 90.00
_cell_angle_gamma 90.00
_space_group_name_H-M_alt 'P 1'
_space_group_IT_number 1
_space_group_name_Hall 'P 1'
loop_
_atom_site_label
_atom_site_fract_x
_atom_site_fract_y
_atom_site_fract_z
_atom_site_occupancy
N1 0.000 0.500 0.000 1
N2 0.500 0.000 0.000 1
Rb1 0.000 0.000 0.000 1
S1 0.000 0.000 0.500 1
I1 0.500 0.500 0.500 1
```


Entry 18:
A plane-wave DFT calculation with SCAN was carried out for RbS2IN at its PBEsol-relaxed geometry.

M_tot ... 1.05 Bohr magnetons per cell
Calculated total energy ... -16.555 eV/atom
N(E_F) ... 3.3 states/eV/cell
Space-group type ... P4/mmm (123)

The structure in CIF format:
```
data_RbS2IN
_cell_length_a 4.149
_cell_length_b 5.259
_cell_length_c 5.259
_cell_angle_alpha 90.00
_cell_angle_beta 90.00
_cell_angle_gamma 90.00
_space_group_name_H-M_alt 'P 1'
_space_group_IT_number 1
_space_group_name_Hall 'P 1'
loop_
_atom_site_label
_atom_site_fract_x
_atom_site_fract_y
_atom_site_fract_z
_atom_site_occupancy
S1 0.000 0.000 0.500 1
S2 0.000 0.500 0.000 1
N1 0.500 0.000 0.000 1
I1 0.000 0.000 0.000 1
Rb1 0.500 0.500 0.500 1
```


Entry 19:
A plane-wave DFT calculation with SCAN was carried out for RbScIN2 at its PBEsol-relaxed geometry.

M_tot ... 3.00 Bohr magnetons per cell
Calculated total energy ... -18.113 eV/atom
N(E_F) ... 1.3 states/eV/cell
Space-group type ... P4/mmm (123)

The structure in CIF format:
```
data_RbScIN2
_cell_length_a 4.517
_cell_length_b 4.517
_cell_length_c 5.730
_cell_angle_alpha 90.00
_cell_angle_beta 90.00
_cell_angle_gamma 90.00
_space_group_name_H-M_alt 'P 1'
_space_group_IT_number 1
_space_group_name_Hall 'P 1'
loop_
_atom_site_label
_atom_site_fract_x
_atom_site_fract_y
_atom_site_fract_z
_atom_site_occupancy
Rb1 0.500 0.500 0.500 1
I1 0.000 0.000 0.500 1
Sc1 0.000 0.000 0.000 1
N1 0.500 0.000 0.000 1
N2 0.000 0.500 0.000 1
```


Entry 20:
A plane-wave DFT calculation with SCAN was carried out for RbSeIN2 at its PBEsol-relaxed geometry.

M_tot ... 2.74 Bohr magnetons per cell
Calculated total energy ... -18.014 eV/atom
N(E_F) ... 2.7 states/eV/cell
Space-group type ... P4/mmm (123)

The structure in CIF format:
```
data_RbSeIN2
_cell_length_a 4.402
_cell_length_b 4.402
_cell_length_c 5.896
_cell_angle_alpha 90.00
_cell_angle_beta 90.00
_cell_angle_gamma 90.00
_space_group_name_H-M_alt 'P 1'
_space_group_IT_number 1
_space_group_name_Hall 'P 1'
loop_
_atom_site_label
_atom_site_fract_x
_atom_site_fract_y
_atom_site_fract_z
_atom_site_occupancy
I1 0.000 0.000 0.500 1
N1 0.000 0.500 0.000 1
N2 0.500 0.000 0.000 1
Rb1 0.500 0.500 0.500 1
Se1 0.000 0.000 0.000 1
```


Formation energy without anion corrections across the listed records, respectively: 1295, 1140, 1702, 647, 1584, 972, 852, 1311, 1007, 1143, 687, 680, 723, 1995, 1454, 413, 1862, 650, -53, 1214 meV/atom.